(w)
# YBeW3

A relaxed YBeW3 crystal (GGA-PBE, Alexandria via LeMat-Bulk).

```
YBeW3
1.0
4.807 0.000 0.000
0.000 4.807 0.000
0.000 0.000 4.807
W Y Be
3 1 1
Cartesian
0.000 2.403 0.000 W
2.403 0.000 0.000 W
0.000 0.000 2.403 W
0.000 0.000 0.000 Y
2.403 2.403 2.403 Be
```

Values from the calculation:
Space group   Pm-3m, No. 221
Spin magnetization   0.00 μB per cell
Volume   111.1 Å³/cell



(x)
# YBeW3

A relaxed YBeW3 crystal (GGA-PBE, Alexandria via LeMat-Bulk).

```
YBeW3
1.0
-0.856 -2.710 -3.398
-1.820 -2.921 2.789
-3.947 1.935 -0.549
Y W Be
1 3 1
Cartesian
-3.312 -1.848 -0.579 Y
-0.428 -1.355 -1.699 W
-1.973 0.968 -0.274 W
-0.910 -1.461 1.394 W
0.000 0.000 0.000 Be
```

Values from the calculation:
Space group   Pm-3m, No. 221
Spin magnetization   0.00 μB per cell
Volume   86.9 Å³/cell



The structure with the least stability is (w).



(w)
# BeZnW

A relaxed BeZnW crystal (GGA-PBE, Alexandria via LeMat-Bulk).

```
BeZnW
1.0
-3.122 1.852 1.329
-3.333 -0.187 -1.948
-2.971 -2.008 1.442
W Zn Be
1 1 1
Cartesian
0.000 0.000 0.000 W
-4.713 -0.172 0.411 Zn
-7.070 -0.257 0.617 Be
```

Values from the calculation:
Space group   F-43m, No. 216
Spin magnetization   0.00 μB per cell
Volume   40.8 Å³/cell



(x)
# BeZnW

A relaxed BeZnW crystal (GGA-PBE, Alexandria via LeMat-Bulk).

```
BeZnW
1.0
6.171 -0.001 0.001
5.483 2.556 -0.031
0.687 -0.359 2.532
W Be Zn
1 1 1
Cartesian
4.459 0.643 1.651 W
0.696 -0.357 2.530 Be
7.873 1.550 0.853 Zn
```

Values from the calculation:
Space group   Fmm2, No. 42
Spin magnetization   0.00 μB per cell
Volume   39.9 Å³/cell



The structure with the least stability is (w).



(w)
# BeZnW

A relaxed BeZnW crystal (GGA-PBE, Alexandria via LeMat-Bulk).

```
BeZnW
1.0
-3.533 -0.979 1.808
-2.951 -1.847 -2.144
-0.907 -3.920 0.726
Zn Be W
1 1 1
Cartesian
0.000 0.000 0.000 Zn
-3.695 -3.373 0.195 Be
-5.543 -5.059 0.293 W
```

Values from the calculation:
Space group   F-43m, No. 216
Spin magnetization   0.00 μB per cell
Volume   48.3 Å³/cell



(x)
# BeZnW

A relaxed BeZnW crystal (GGA-PBE, Alexandria via LeMat-Bulk).

```
BeZnW
1.0
5.745 -0.021 0.000
4.507 3.563 0.000
-5.126 -1.771 1.896
Zn W Be
1 1 1
Cartesian
6.678 2.307 0.000 Zn
3.526 1.218 0.000 W
0.049 0.017 0.000 Be
```

Values from the calculation:
Space group   I4mm, No. 107
Spin magnetization   0.00 μB per cell
Volume   39.0 Å³/cell



(y)
# BeZnW

A relaxed BeZnW crystal (GGA-PBE, Alexandria via LeMat-Bulk).

```
BeZnW
1.0
3.370 0.000 0.000
1.685 5.008 -0.295
1.685 0.910 4.356
W Be Zn
2 2 2
Cartesian
1.685 1.308 2.902 W
5.056 4.609 1.160 W
1.685 0.938 0.353 Be
5.056 4.979 3.709 Be
3.370 2.348 0.921 Zn
3.370 3.570 3.140 Zn
```

Values from the calculation:
Space group   C2/m, No. 12
Spin magnetization   0.00 μB per cell
Volume   74.4 Å³/cell



The structure with the least stability is (w).



(w)
# BeZnW

A relaxed BeZnW crystal (GGA-PBE, Alexandria via LeMat-Bulk).

```
BeZnW
1.0
2.738 0.000 0.000
-1.369 2.371 0.000
0.000 0.000 6.379
Zn W Be
1 1 1
Cartesian
1.369 0.790 4.362 Zn
0.000 1.581 2.019 W
0.000 0.000 6.376 Be
```

Values from the calculation:
Space group   P3m1, No. 156
Spin magnetization   0.00 μB per cell
Volume   41.4 Å³/cell



(x)
# BeZnW

A relaxed BeZnW crystal (GGA-PBE, Alexandria via LeMat-Bulk).

```
BeZnW
1.0
-0.532 -2.032 -3.412
-1.289 -1.537 3.468
-2.454 1.247 -0.360
Zn Be W
1 1 1
Cartesian
-2.829 -0.828 -1.419 Zn
-2.047 1.040 -0.300 Be
-1.854 -1.286 1.055 W
```

Values from the calculation:
Space group   P-6m2, No. 187
Spin magnetization   0.00 μB per cell
Volume   38.6 Å³/cell



The structure with the least stability is (w).



(w)
# ZrBe2W

A relaxed ZrBe2W crystal (GGA-PBE, Alexandria via LeMat-Bulk).

```
ZrBe2W
1.0
8.902 -0.015 -0.009
8.464 2.757 -0.009
8.464 1.337 2.411
Be W Zr
2 1 1
Cartesian
13.104 2.069 1.214 Be
25.642 4.049 2.376 Be
6.458 1.020 0.598 W
19.373 3.059 1.795 Zr
```

Values from the calculation:
Space group   R-3m, No. 166
Spin magnetization   0.00 μB per cell
Volume   59.7 Å³/cell



(x)
# ZrBe2W

A relaxed ZrBe2W crystal (GGA-PBE, Alexandria via LeMat-Bulk).

```
ZrBe2W
1.0
-2.089 1.824 -0.240
-1.644 -2.171 -2.190
-2.661 -2.464 4.440
Be W Zr
2 1 1
Cartesian
-1.202 -1.113 2.005 Be
-0.129 -0.119 0.215 Be
-2.532 -0.790 -0.105 W
-3.862 -2.022 2.115 Zr
```

Values from the calculation:
Space group   Pmmm, No. 47
Spin magnetization   0.00 μB per cell
Volume   55.8 Å³/cell



(y)
# ZrBe2W

A relaxed ZrBe2W crystal (GGA-PBE, Alexandria via LeMat-Bulk).

```
ZrBe2W
1.0
6.274 0.020 0.056
-2.517 3.734 -0.035
1.240 0.846 2.364
Be W Zr
2 1 1
Cartesian
0.000 0.000 0.000 Be
3.757 0.433 1.210 Be
-0.639 2.290 1.164 W
1.878 1.877 0.011 Zr
```

Values from the calculation:
Space group   C2/m, No. 12
Spin magnetization   0.00 μB per cell
Volume   55.3 Å³/cell



(z)
# ZrBe2W

A relaxed ZrBe2W crystal (GGA-PBE, Alexandria via LeMat-Bulk).

```
ZrBe2W
1.0
-3.000 -2.864 -1.381
-2.337 -2.287 2.901
-4.253 0.856 0.543
W Zr Be
1 1 2
Cartesian
-4.795 -2.147 1.031 W
-7.192 -3.221 1.547 Zr
-2.397 -1.074 0.516 Be
0.000 0.000 0.000 Be
```

Values from the calculation:
Space group   F-43m, No. 216
Spin magnetization   0.00 μB per cell
Volume   59.1 Å³/cell



The structure with the least stability is (z).



(w)
# ZrBe3W

A relaxed ZrBe3W crystal (GGA-PBE, Alexandria via LeMat-Bulk).

```
ZrBe3W
1.0
-0.828 -0.906 -4.048
0.332 -4.130 0.856
-4.135 -0.150 0.880
W Be Zr
1 3 1
Cartesian
-2.316 -2.593 -1.156 W
-0.414 -0.453 -2.024 Be
0.166 -2.065 0.428 Be
-2.068 -0.075 0.440 Be
0.000 0.000 0.000 Zr
```

Values from the calculation:
Space group   Pm-3m, No. 221
Spin magnetization   0.00 μB per cell
Volume   75.7 Å³/cell



(x)
# ZrBe3W

A relaxed ZrBe3W crystal (GGA-PBE, Alexandria via LeMat-Bulk).

```
ZrBe3W
1.0
-1.022 4.106 -0.420
-2.357 -0.936 -3.413
-3.388 -0.587 2.501
Be W Zr
3 1 1
Cartesian
-0.511 2.053 -0.210 Be
-1.694 -0.294 1.250 Be
-1.178 -0.468 -1.707 Be
0.000 0.000 0.000 W
-3.383 1.291 -0.666 Zr
```

Values from the calculation:
Space group   Pm-3m, No. 221
Spin magnetization   0.00 μB per cell
Volume   76.9 Å³/cell



The structure with the least stability is (w).



(w)
# YBe

A relaxed YBe crystal (GGA-PBE, Alexandria via LeMat-Bulk).

```
YBe
1.0
-4.716 -2.743 -0.845
2.825 -4.152 -2.293
0.514 -2.441 5.055
Y Be
4 4
Cartesian
0.774 -4.941 0.678 Y
-0.367 -1.337 -0.609 Y
-1.524 -5.558 -2.529 Y
-2.151 -4.395 1.240 Y
-1.351 -7.083 -0.140 Be
-2.075 -3.236 -1.352 Be
-0.026 -2.254 2.058 Be
0.184 -3.659 -1.786 Be
```

Values from the calculation:
Space group   P4_2/mnm, No. 136
Spin magnetization   0.00 μB per cell
Volume   171.8 Å³/cell



(x)
# YBe

A relaxed YBe crystal (GGA-PBE, Alexandria via LeMat-Bulk).

```
YBe
1.0
12.167 0.000 0.000
0.000 4.021 0.000
0.000 0.000 6.957
Be Y
8 8
Cartesian
3.041 1.005 0.584 Be
3.040 3.016 1.744 Be
9.127 1.005 5.213 Be
9.123 3.016 1.734 Be
9.124 1.005 2.894 Be
3.042 3.016 4.062 Be
3.043 1.005 5.222 Be
9.126 3.016 6.373 Be
7.456 1.005 0.575 Y
10.794 3.016 4.053 Y
7.455 3.016 4.055 Y
10.795 1.005 0.577 Y
4.712 1.005 2.901 Y
1.372 3.016 6.380 Y
1.373 1.005 2.903 Y
4.711 3.016 6.382 Y
```

Values from the calculation:
Space group   Cmcm, No. 63
Spin magnetization   0.00 μB per cell
Volume   340.4 Å³/cell



(y)
# YBe

A relaxed YBe crystal (GGA-PBE, Alexandria via LeMat-Bulk).

```
YBe
1.0
7.590 0.000 0.000
0.000 7.590 0.000
0.000 0.000 7.590
Be Y
6 6
Cartesian
1.897 3.795 0.000 Be
5.692 3.795 0.000 Be
0.000 1.897 3.795 Be
3.795 0.000 5.692 Be
3.795 0.000 1.897 Be
0.000 5.692 3.795 Be
3.795 1.897 0.000 Y
1.897 0.000 3.795 Y
0.000 3.795 5.692 Y
0.000 3.795 1.897 Y
5.692 0.000 3.795 Y
3.795 5.692 0.000 Y
```

Values from the calculation:
Space group   Pm-3n, No. 223
Spin magnetization   3.25 μB per cell
Volume   437.2 Å³/cell



The structure with the least stability is (y).



(w)
# Y5Be

A relaxed Y5Be crystal (GGA-PBE, Alexandria via LeMat-Bulk).

```
Y5Be
1.0
-5.866 1.429 -0.713
1.570 -5.591 1.799
-0.234 1.554 5.033
Y Be
5 1
Cartesian
-1.305 -1.264 0.330 Y
1.093 -3.893 1.253 Y
-3.504 -0.134 2.641 Y
-1.026 -2.474 3.478 Y
-4.085 0.995 -0.497 Y
-0.117 0.777 2.517 Be
```

Values from the calculation:
Space group   P-62m, No. 189
Spin magnetization   0.00 μB per cell
Volume   168.8 Å³/cell



(x)
# Y5Be

A relaxed Y5Be crystal (GGA-PBE, Alexandria via LeMat-Bulk).

```
Y5Be
1.0
2.372 -7.421 0.000
2.372 7.421 0.000
0.000 0.000 4.809
Be Y
1 5
Cartesian
2.372 0.000 0.000 Be
2.372 -5.098 0.000 Y
2.372 -2.438 2.405 Y
2.372 2.438 2.405 Y
2.372 5.098 0.000 Y
0.000 0.000 2.405 Y
```

Values from the calculation:
Space group   Cmmm, No. 65
Spin magnetization   0.00 μB per cell
Volume   169.3 Å³/cell



The structure with the least stability is (w).



(w)
# Y5Be

A relaxed Y5Be crystal (GGA-PBE, Alexandria via LeMat-Bulk).

```
Y5Be
1.0
-1.079 -1.186 3.118
-1.493 -2.759 -1.566
11.749 -7.125 1.355
Y Be
5 1
Cartesian
8.395 -5.091 0.968 Y
11.187 -6.785 1.291 Y
0.449 -3.025 0.976 Y
3.916 -2.375 0.452 Y
4.812 -5.671 1.480 Y
8.505 -7.911 1.906 Be
```

Values from the calculation:
Space group   P4/mmm, No. 123
Spin magnetization   0.00 μB per cell
Volume   169.8 Å³/cell



(x)
# Y5Be

A relaxed Y5Be crystal (GGA-PBE, Alexandria via LeMat-Bulk).

```
Y5Be
1.0
-0.465 3.255 1.441
-4.513 2.852 -3.429
-7.668 -0.715 3.611
Be Y
1 5
Cartesian
-11.772 2.266 0.024 Be
-3.607 3.812 -0.831 Y
-8.210 1.842 2.132 Y
-5.676 1.200 -0.070 Y
-2.130 1.145 1.198 Y
-9.690 4.508 0.105 Y
```

Values from the calculation:
Space group   Cm, No. 8
Spin magnetization   0.00 μB per cell
Volume   171.1 Å³/cell



The structure with the least stability is (x).



(w)
# Y5Be

A relaxed Y5Be crystal (GGA-PBE, Alexandria via LeMat-Bulk).

```
Y5Be
1.0
-5.108 -2.576 -2.826
-5.865 1.648 1.897
-3.692 3.571 -3.786
Y Be
5 1
Cartesian
-6.613 2.938 -1.535 Y
-9.163 1.652 -2.946 Y
-3.666 0.661 -1.179 Y
-7.320 -0.132 -1.056 Y
-6.235 0.829 -3.893 Y
0.000 0.000 0.000 Be
```

Values from the calculation:
Space group   F-43m, No. 216
Spin magnetization   0.00 μB per cell
Volume   183.7 Å³/cell



(x)
# Y5Be

A relaxed Y5Be crystal (GGA-PBE, Alexandria via LeMat-Bulk).

```
Y5Be
1.0
2.008 4.634 -3.795
-3.952 1.299 4.754
4.527 0.916 3.513
Y Be
5 1
Cartesian
3.267 2.775 -0.141 Y
1.291 3.425 2.236 Y
0.287 1.108 4.134 Y
0.021 3.523 -0.945 Y
-1.966 2.411 1.904 Y
0.000 0.000 0.000 Be
```

Values from the calculation:
Space group   P6/mmm, No. 191
Spin magnetization   0.00 μB per cell
Volume   200.6 Å³/cell



(y)
# Y5Be

A relaxed Y5Be crystal (GGA-PBE, Alexandria via LeMat-Bulk).

```
Y5Be
1.0
1.830 -8.545 0.000
1.830 8.545 0.000
0.000 0.000 5.454
Be Y
1 5
Cartesian
1.830 8.538 0.000 Be
1.830 0.737 2.727 Y
1.830 6.687 2.727 Y
1.830 -2.488 0.000 Y
1.830 2.724 0.000 Y
1.830 -4.803 2.727 Y
```

Values from the calculation:
Space group   Amm2, No. 38
Spin magnetization   0.00 μB per cell
Volume   170.5 Å³/cell



The structure with the least stability is (x).